(1)
Material: In2AsOs
Method: DFT, PBE
State: relaxed

E = -4.842 eV/atom

Cell lengths 3.411, 3.483, 6.457 Å; angles 90.00, 90.00, 90.00 degrees
Space group Pmmm (No. 47)
One atom of each set of equivalent atoms:
In (0.000, 0.000, 0.233) [2 per cell]
As (0.500, 0.500, 0.500) [1 per cell]
Os (0.500, 0.500, 0.000) [1 per cell]

---

(2)
Material: InAsOs2
Method: DFT, PBE
State: relaxed

Offset from the most stable computed form = 1.31 eV/f.u.
E = -6.836 eV/atom

Cell lengths 2.969, 5.063, 8.836 Å; angles 90.00, 90.00, 90.00 degrees
Space group Immm (No. 71)
One atom of each set of equivalent atoms:
In (0.000, 0.000, 0.000) [2 per cell]
As (0.000, 0.000, 0.500) [2 per cell]
Os (0.000, 0.500, 0.223) [4 per cell]

---

(3)
Material: InAsOsPb2
Method: DFT, PBE
State: relaxed

E = -3.739 eV/atom

Cell lengths 5.496, 5.496, 5.168 Å; angles 90.00, 90.00, 90.00 degrees
Space group P4/mmm (No. 123)
One atom of each set of equivalent atoms:
In (0.000, 0.000, 0.000) [1 per cell]
As (0.000, 0.000, 0.500) [1 per cell]
Os (0.500, 0.500, 0.000) [1 per cell]
Pb (0.000, 0.500, 0.500) [2 per cell]